16
Lattice="7.766 0.000 0.000 0.000 7.766 0.000 0.000 0.000 7.766" Properties=species:S:1:pos:R:3 comment="CePmPuSc (PBE, optimized geometry)" rho_g_cm3=8.14 e_form_ev_per_atom=0.28 pbc="T T T"
Ce 0.000 0.000 0.000
Ce 0.000 3.883 3.883
Ce 3.883 0.000 3.883
Ce 3.883 3.883 0.000
Pm 1.942 1.942 5.825
Pm 1.942 5.825 1.942
Pm 5.825 1.942 1.942
Pm 5.825 5.825 5.825
Pu 0.000 0.000 3.883
Pu 0.000 3.883 0.000
Pu 3.883 0.000 0.000
Pu 3.883 3.883 3.883
Sc 1.942 1.942 1.942
Sc 1.942 5.825 5.825
Sc 5.825 1.942 5.825
Sc 5.825 5.825 1.942



28
Lattice="6.912 0.000 0.000 0.000 7.985 0.000 0.000 0.000 9.106" Properties=species:S:1:pos:R:3 comment="BaC2O4 (PBE, optimized geometry)" rho_g_cm3=2.98 polymorph_energy_mev_per_atom=451 raw_formation_energy_ev_per_atom=-1.376 pbc="T T T"
Ba 0.674 1.650 2.851
Ba 2.782 6.334 7.404
Ba 4.130 2.342 6.256
Ba 6.238 5.643 1.702
C 0.592 1.208 6.388
C 1.659 4.922 4.567
C 1.797 3.063 0.014
C 2.864 6.776 1.835
C 4.048 2.784 2.718
C 5.115 7.056 4.539
C 5.253 0.929 9.092
C 6.320 5.201 7.271
O 0.084 5.912 8.046
O 0.922 3.512 0.793
O 0.985 4.410 3.652
O 1.691 7.213 1.755
O 1.765 0.771 6.308
O 2.471 3.575 8.206
O 2.534 4.473 5.346
O 3.372 2.073 3.493
O 3.540 6.065 1.060
O 4.378 0.480 8.314
O 4.441 7.567 5.454
O 5.147 4.764 7.351
O 5.221 3.221 2.798
O 5.927 0.417 0.901
O 5.990 7.504 3.760
O 6.828 1.920 5.614



16
Lattice="7.064 0.000 0.000 0.000 7.064 0.000 0.000 0.000 8.278" Properties=species:S:1:pos:R:3 comment="Sr2IrO (PBE, optimized geometry)" rho_g_cm3=6.17 raw_formation_energy_ev_per_atom=-0.821 pbc="T T T"
Sr 1.232 1.766 1.035
Sr 1.766 4.764 3.104
Sr 1.766 5.832 7.243
Sr 2.300 1.766 5.174
Sr 4.764 5.298 5.174
Sr 5.298 1.232 7.243
Sr 5.298 2.300 3.104
Sr 5.832 5.298 1.035
Ir 0.000 0.000 4.139
Ir 0.000 3.532 6.208
Ir 3.532 0.000 2.069
Ir 3.532 3.532 0.000
O 0.000 0.000 0.000
O 0.000 3.532 2.069
O 3.532 0.000 6.208
O 3.532 3.532 4.139



8
Lattice="4.652 0.000 0.000 0.000 4.652 0.000 0.000 0.000 10.273" Properties=species:S:1:pos:R:3 comment="Sr2TaMn (PBE, optimized geometry)" rho_g_cm3=6.14 e_form_ev_per_atom=1.10 polymorph_energy_mev_per_atom=625 pbc="T T T"
Sr 0.000 2.326 2.568
Sr 0.000 2.326 7.705
Sr 2.326 0.000 2.568
Sr 2.326 0.000 7.705
Ta 0.000 0.000 0.000
Ta 2.326 2.326 5.137
Mn 0.000 0.000 5.137
Mn 2.326 2.326 0.000



14
Lattice="-4.607 4.607 4.587 4.607 -4.607 4.587 4.607 4.607 -4.587" Properties=species:S:1:pos:R:3 comment="Tb5HoIn8 (PBE, optimized geometry)" rho_g_cm3=8.01 e_form_ev_per_atom=-0.34 pbc="T T T"
Tb 0.000 0.000 0.000
Tb 2.279 -1.137 3.443
Tb 3.469 2.327 1.144
Tb 2.327 5.744 -1.144
Tb 1.137 2.279 5.731
Ho 0.000 4.607 2.293
In 3.817 3.055 -1.938
In 6.128 0.760 0.365
In 0.760 3.085 -0.365
In 0.789 1.551 2.649
In 3.846 1.522 4.222
In 1.551 -0.789 6.525
In 3.055 5.396 1.938
In -1.522 3.846 4.952



18
Lattice="12.107 0.000 0.000 0.000 3.992 0.000 0.000 0.000 7.036" Properties=species:S:1:pos:R:3 comment="PmZnCo (PBE, optimized geometry)" rho_g_cm3=7.89 e_form_ev_per_atom=-0.21 polymorph_energy_mev_per_atom=0 pbc="T T T"
Pm 0.533 0.000 1.738
Pm 3.027 0.000 4.419
Pm 5.520 0.000 1.738
Pm 6.587 0.000 5.298
Pm 9.080 0.000 2.618
Pm 11.574 0.000 5.298
Zn 1.684 1.996 6.469
Zn 3.027 1.996 1.980
Zn 4.370 1.996 6.469
Zn 7.737 1.996 0.567
Zn 9.080 1.996 5.056
Zn 10.423 1.996 0.567
Co 1.080 1.996 3.828
Co 3.027 0.000 0.345
Co 4.974 1.996 3.828
Co 7.133 1.996 3.208
Co 9.080 0.000 6.691
Co 11.027 1.996 3.208